(1)
VASP calculation (PBE) on CrNi4Rh3 after structural relaxation.

Results
E above lowest polymorph = 0 meV/atom
Crystal system = orthorhombic
Symmetry = Immm, No. 71
E_form = 0.1570 eV/atom

Unit cell a=2.585 b=8.282 c=6.431 alpha=130.09 beta=101.59 gamma=90.00
Last column: magnetic moment on the atom in μB.
Atoms (fractional coordinates):
Rh  0.000  0.500  0.000  0.33
Rh  0.777  0.777  0.554  0.15
Rh  0.223  0.223  0.446  0.15
Cr  0.500  0.000  0.000  0.63
Ni  0.373  0.620  0.746  0.38
Ni  0.627  0.380  0.254  0.38
Ni  0.627  0.874  0.254  0.38
Ni  0.373  0.126  0.746  0.38

(2)
VASP calculation (PBE) on Ac2TbC2I2 after structural relaxation.

Results
Raw total energy = -5.4670 eV per atom
Crystal system = tetragonal
Symmetry = I4/mmm, No. 139

Unit cell a=4.685 b=4.685 c=9.845 alpha=103.76 beta=103.76 gamma=90.00
Atoms (fractional coordinates):
C  0.000  0.500  0.000
C  0.500  0.000  0.000
Tb  0.000  0.000  0.000
Ac  0.590  0.590  0.181
Ac  0.410  0.410  0.819
I  0.823  0.823  0.646
I  0.177  0.177  0.354

(3)
VASP calculation (PBE) on CsAgSnCl4 after structural relaxation.

Results
Raw total energy = -3.2902 eV per atom
Crystal system = monoclinic
Symmetry = P2_1/m, No. 11

Unit cell a=6.880 b=7.392 c=9.985 alpha=90.00 beta=109.47 gamma=90.00
Atoms (fractional coordinates):
Cl  0.677  0.250  0.919
Cl  0.323  0.750  0.081
Cl  0.009  0.491  0.305
Cl  0.009  0.009  0.305
Cl  0.517  0.250  0.408
Cl  0.483  0.750  0.592
Cl  0.991  0.509  0.695
Cl  0.991  0.991  0.695
Sn  0.188  0.250  0.493
Sn  0.812  0.750  0.507
Ag  0.681  0.250  0.675
Ag  0.319  0.750  0.325
Cs  0.245  0.250  0.035
Cs  0.755  0.750  0.965

Number 1: density of states at the Fermi level 13.90 states/eV per cell. Number 2: density of states at the Fermi level 1.91 states/eV per cell. Number 3: density of states at the Fermi level 0.00 states/eV per cell.